Br3Cl: optimized geometry, PBE.

Cell: 3.873 3.873 8.397 Å, 90.00 90.00 120.00°
Positions (direct):
Br 0.000 0.000 0.000
Br 0.333 0.667 0.250
Br 0.333 0.667 0.750
Cl 0.000 0.000 0.500

Properties
Uncorrected formation energy, eV per atom: 0.586
Final energy, eV per cell: -4.522